Record 1
Below is crystalline K3Mg2AgCl8 at its relaxed geometry, with properties calculated at the PBE-GGA level.

a b c (Å): 7.3768 7.3768 9.0354
angles (deg): 90.00 90.00 120.00
Last column: nearest neighbours and their distance in Å.
Atoms (fractional coordinates):
K1 0.3333 0.6667 0.6113  1 Cl 2.99
K2 0.6667 0.3333 0.3887  1 Cl 2.99
K3 0.0000 0.0000 0.0000  6 Cl 3.51
Mg1 0.3333 0.6667 0.1957  4 Cl 2.29-2.36
Mg2 0.6667 0.3333 0.8043  4 Cl 2.29-2.36
Ag1 0.0000 0.0000 0.5000  6 Cl 2.75
Cl1 0.3333 0.6667 0.9425  1 Mg 2.29
Cl2 0.6667 0.3333 0.0575  1 Mg 2.29
Cl3 0.1672 0.8328 0.3089  1 Mg 2.36
Cl4 0.8328 0.1672 0.6911  1 Mg 2.36
Cl5 0.1672 0.3343 0.3089  1 Mg 2.36
Cl6 0.8328 0.6657 0.6911  1 Mg 2.36
Cl7 0.6657 0.8328 0.3089  1 Mg 2.36
Cl8 0.3343 0.1672 0.6911  1 Mg 2.36

- Formation energy from raw total energies: -1.655 eV/atom
- Symmetry: P-3m1 (164)
- E_tot: -3.3764 eV/atom
- Calculated density: 2.2 Mg/m³

***

Record 2
Below is crystalline AcDyAl2Zn2 at its relaxed geometry, with properties calculated at the PBE-GGA level.

a b c (Å): 4.5473 4.5473 7.8841
angles (deg): 90.00 90.00 120.00
Last column: nearest neighbours and their distance in Å.
Atoms (fractional coordinates):
Ac1 0.0000 0.0000 0.0000  6 Al 3.48, 6 Zn 3.54
Dy1 0.0000 0.0000 0.5000  6 Zn 3.06, 6 Al 3.11
Al1 0.6667 0.3333 0.7109  3 Zn 2.63
Al2 0.3333 0.6667 0.2891  3 Zn 2.63
Zn1 0.6667 0.3333 0.3016  3 Al 2.63
Zn2 0.3333 0.6667 0.6984  3 Al 2.63

- E_form: -2.5 eV per formula unit
- Symmetry: P-3m1 (164)
- E_tot: -3.5458 eV/atom
- Calculated density: 6.8 Mg/m³

***

Record 3
Below is crystalline Tb9Pm11Dy4 at its relaxed geometry, with properties calculated at the PBE-GGA level.

a b c (Å): 3.6648 15.4057 15.4057
angles (deg): 113.15 90.00 90.00
Last column: nearest neighbours and their distance in Å.
Atoms (fractional coordinates):
Tb1 0.5000 0.6307 0.1651  3 Tb 3.47-3.66, 1 Dy 3.50, 8 Pm 3.54-3.73
Tb2 0.5000 0.3693 0.8349  3 Tb 3.47-3.66, 1 Dy 3.50, 8 Pm 3.54-3.73
Tb3 0.5000 0.1651 0.6307  3 Tb 3.47-3.66, 1 Dy 3.50, 8 Pm 3.54-3.73
Tb4 0.5000 0.8349 0.3693  3 Tb 3.47-3.66, 1 Dy 3.50, 8 Pm 3.54-3.73
Tb5 0.5000 0.7865 0.9326  1 Dy 3.52, 8 Pm 3.55-3.76, 3 Tb 3.66-3.76
Tb6 0.5000 0.2135 0.0674  1 Dy 3.52, 8 Pm 3.55-3.76, 3 Tb 3.66-3.76
Tb7 0.5000 0.9326 0.7865  1 Dy 3.52, 8 Pm 3.55-3.76, 3 Tb 3.66-3.76
Tb8 0.5000 0.0674 0.2135  1 Dy 3.52, 8 Pm 3.55-3.76, 3 Tb 3.66-3.76
Tb9 0.5000 0.5000 0.5000  2 Tb 3.66, 4 Dy 3.73, 8 Pm 3.85-3.98
Pm1 0.0000 0.5946 0.9568  2 Dy 3.41, 6 Tb 3.54-3.72, 3 Pm 3.65-3.66
Pm2 0.0000 0.4054 0.0432  2 Dy 3.41, 6 Tb 3.54-3.72, 3 Pm 3.65-3.66
Pm3 0.0000 0.9568 0.5946  2 Dy 3.41, 6 Tb 3.54-3.72, 3 Pm 3.65-3.66
Pm4 0.0000 0.0432 0.4054  2 Dy 3.41, 6 Tb 3.54-3.72, 3 Pm 3.65-3.66
Pm5 0.0000 0.6316 0.3684  4 Dy 3.32, 4 Tb 3.62, 2 Pm 3.66
Pm6 0.0000 0.3684 0.6316  4 Dy 3.32, 4 Tb 3.62, 2 Pm 3.66
Pm7 0.0000 0.8394 0.1606  4 Pm 3.66-3.84, 8 Tb 3.73-3.76
Pm8 0.0000 0.1606 0.8394  4 Pm 3.66-3.84, 8 Tb 3.73-3.76
Pm9 0.0000 0.0000 0.0000  8 Tb 3.55, 2 Pm 3.66
Pm10 0.0000 0.7079 0.7079  4 Dy 3.31, 2 Pm 3.66, 4 Tb 3.68
Pm11 0.0000 0.2921 0.2921  4 Dy 3.31, 2 Pm 3.66, 4 Tb 3.68
Dy1 0.5000 0.5553 0.7585  6 Pm 3.31-3.41, 2 Tb 3.50-3.52, 2 Dy 3.66
Dy2 0.5000 0.4447 0.2415  6 Pm 3.31-3.41, 2 Tb 3.50-3.52, 2 Dy 3.66
Dy3 0.5000 0.7585 0.5553  6 Pm 3.31-3.41, 2 Tb 3.50-3.52, 2 Dy 3.66
Dy4 0.5000 0.2415 0.4447  6 Pm 3.31-3.41, 2 Tb 3.50-3.52, 2 Dy 3.66

- E_form: 1.3 eV per formula unit
- Symmetry: Cmmm (65)
- E_tot: -4.6259 eV/atom
- Calculated density: 7.6 Mg/m³

***

Values for magnetic moment, Bohr magnetons per cell, ordered as above
0.000; 0.000; 0.000